(1)
DFT (PBE) results for an optimized crystal structure of TbHo4Tl.

- distance to the lowest polymorph of the same formula (eV/f.u.) = 0.842
- crystal system = orthorhombic
- ΔH_f (0 K) (meV per atom) = 36
- volume (Å³/f.u.) = 188

Structure (POSCAR):
```
TbHo4Tl
1.0
2.757 -10.527 0.000
2.757 10.527 0.000
0.000 0.000 6.491
Tb Ho Tl
2 8 2
Direct
0.064 0.936 0.500
0.936 0.064 0.000
0.137 0.863 0.988
0.254 0.746 0.622
0.318 0.682 0.146
0.461 0.539 0.324
0.539 0.461 0.824
0.682 0.318 0.646
0.746 0.254 0.122
0.863 0.137 0.488
0.397 0.603 0.749
0.603 0.397 0.249
```


(2)
DFT (PBE) results for an optimized crystal structure of Tb8Ho5Tl.

- crystal system = tetragonal
- ΔH_f (0 K) (meV per atom) = 195
- volume (Å³/f.u.) = 458

Structure (POSCAR):
```
Tb8Ho5Tl
1.0
-4.796 4.796 4.976
4.796 -4.796 4.976
4.796 4.796 -4.976
Tb Ho Tl
8 5 1
Direct
0.160 0.430 0.098
0.332 0.062 0.902
0.417 0.160 0.393
0.570 0.668 0.730
0.767 0.024 0.607
0.840 0.233 0.257
0.938 0.840 0.270
0.976 0.583 0.743
0.000 0.000 0.000
0.213 0.319 0.692
0.479 0.787 0.106
0.628 0.521 0.308
0.681 0.372 0.894
0.250 0.750 0.500
```


(3)
DFT (PBE) results for an optimized crystal structure of Tb6Ho3Tl.

- distance to the lowest polymorph of the same formula (eV/f.u.) = 0.200
- crystal system = orthorhombic
- ΔH_f (0 K) (meV per atom) = 33
- volume (Å³/f.u.) = 315

Structure (POSCAR):
```
Tb6Ho3Tl
1.0
5.451 -9.418 0.000
5.451 9.418 0.000
0.000 0.000 6.136
Tb Ho Tl
12 6 2
Direct
0.055 0.945 0.500
0.057 0.487 0.102
0.270 0.730 0.767
0.287 0.387 0.909
0.387 0.287 0.409
0.487 0.057 0.602
0.513 0.943 0.102
0.613 0.713 0.909
0.713 0.613 0.409
0.730 0.270 0.267
0.943 0.513 0.602
0.945 0.055 0.000
0.057 0.268 0.474
0.268 0.057 0.974
0.392 0.608 0.383
0.608 0.392 0.883
0.732 0.943 0.474
0.943 0.732 0.974
0.209 0.791 0.297
0.791 0.209 0.797
```


(4)
DFT (PBE) results for an optimized crystal structure of Tb5Ho6Tl.

- crystal system = orthorhombic
- ΔH_f (0 K) (meV per atom) = -27
- volume (Å³/f.u.) = 367

Structure (POSCAR):
```
Tb5Ho6Tl
1.0
-2.464 4.971 7.485
2.464 -4.971 7.485
2.464 4.971 -7.485
Tb Ho Tl
5 6 1
Direct
0.000 0.000 0.000
0.163 0.663 0.500
0.332 0.332 0.000
0.668 0.668 0.000
0.837 0.337 0.500
0.087 0.833 0.253
0.255 0.500 0.755
0.420 0.167 0.253
0.580 0.833 0.747
0.745 0.500 0.245
0.913 0.167 0.747
0.500 0.000 0.500
```